(1)
An optimized crystal structure of B7C5. Source: Alexandria via LeMat-Bulk, functional PBE-GGA.

Output
The value obtained for the offset from the most stable computed form is 24.3 kJ/mol of atoms. The value obtained for the formation energy is 0.4158 eV per atom. For the total energy, the calculation gives -175.74 eV per cell.

```
data_B7C5
_chemical_formula_sum 'B14 C10'
_cell_length_a 12.936
_cell_length_b 2.596
_cell_length_c 5.296
_cell_angle_alpha 90.00
_cell_angle_beta 102.55
_cell_angle_gamma 90.00
_space_group_name_H-M_alt 'C 1 m 1'
_space_group_IT_number 8
loop_
_space_group_symop_operation_xyz
'x,y,z'
'x,-y,z'
'x+1/2,y+1/2,z'
'x+1/2,-y+1/2,z'
loop_
_atom_site_label
_atom_site_type_symbol
_atom_site_fract_x
_atom_site_fract_y
_atom_site_fract_z
B1 B 0.000 0.000 0.000
B2 B 0.028 0.000 0.596
B3 B 0.104 0.500 0.086
B4 B 0.232 0.000 0.940
B5 B 0.323 0.000 0.225
B6 B 0.358 0.000 0.609
B7 B 0.406 0.500 0.172
C1 C 0.101 0.500 0.585
C2 C 0.172 0.500 0.386
C3 C 0.173 0.500 0.857
C4 C 0.241 0.000 0.419
C5 C 0.423 0.500 0.700
```

=====

(2)
An optimized crystal structure of BC11. Source: Alexandria via LeMat-Bulk, functional PBE-GGA.

Output
The value obtained for the offset from the most stable computed form is 3.1 kJ/mol of atoms. The value obtained for the formation energy is 0.2142 eV per atom. For the total energy, the calculation gives -211.14 eV per cell.

```
data_BC11
_chemical_formula_sum 'B2 C22'
_cell_length_a 8.055
_cell_length_b 3.621
_cell_length_c 5.075
_cell_angle_alpha 90.00
_cell_angle_beta 108.26
_cell_angle_gamma 90.00
_space_group_name_H-M_alt 'C 1 2 1'
_space_group_IT_number 5
loop_
_space_group_symop_operation_xyz
'x,y,z'
'-x,y,-z'
'x+1/2,y+1/2,z'
'-x+1/2,y+1/2,-z'
loop_
_atom_site_label
_atom_site_type_symbol
_atom_site_fract_x
_atom_site_fract_y
_atom_site_fract_z
B1 B 0.000 0.000 0.000
C1 C 0.000 0.995 0.500
C2 C 0.001 0.733 0.256
C3 C 0.167 0.242 0.583
C4 C 0.167 0.495 0.335
C5 C 0.167 0.497 0.833
C6 C 0.171 0.252 0.086
```

=====

(3)
An optimized crystal structure of B3C2. Source: Alexandria via LeMat-Bulk, functional PBE-GGA.

Output
The value obtained for the offset from the most stable computed form is 32.6 kJ/mol of atoms. The value obtained for the formation energy is 0.5483 eV per atom. For the total energy, the calculation gives -214.43 eV per cell.

```
data_B3C2
_chemical_formula_sum 'B18 C12'
_cell_length_a 2.6425
_cell_length_b 2.6425
_cell_length_c 34.5064
_cell_angle_alpha 90.00
_cell_angle_beta 90.00
_cell_angle_gamma 120.00
_space_group_name_H-M_alt 'R 3 m'
_space_group_IT_number 160
_space_group_name_Hall 'R 3 -2"'
loop_
_atom_site_label
_atom_site_type_symbol
_atom_site_fract_x
_atom_site_fract_y
_atom_site_fract_z
B1 B 0.0000 0.0000 0.0000
B2 B 0.0000 0.0000 0.0494
B3 B 0.0000 0.0000 0.1991
B4 B 0.0000 0.0000 0.2531
B5 B 0.0000 0.0000 0.6377
B6 B 0.0000 0.0000 0.8404
C1 C 0.0000 0.0000 0.4019
C2 C 0.0000 0.0000 0.4455
C3 C 0.0000 0.0000 0.5910
C4 C 0.0000 0.0000 0.7943
```

=====

(4)
An optimized crystal structure of BC. Source: Alexandria via LeMat-Bulk, functional PBE-GGA.

Output
The value obtained for the offset from the most stable computed form is 23.4 kJ/mol of atoms. The value obtained for the formation energy is 0.3935 eV per atom. For the total energy, the calculation gives -181.37 eV per cell.

```
data_BC
_chemical_formula_sum 'B12 C12'
_cell_length_a 12.728
_cell_length_b 2.631
_cell_length_c 4.880
_cell_angle_alpha 90.00
_cell_angle_beta 102.68
_cell_angle_gamma 90.00
_space_group_name_H-M_alt 'C 1 m 1'
_space_group_IT_number 8
loop_
_space_group_symop_operation_xyz
'x,y,z'
'x,-y,z'
'x+1/2,y+1/2,z'
'x+1/2,-y+1/2,z'
loop_
_atom_site_label
_atom_site_type_symbol
_atom_site_fract_x
_atom_site_fract_y
_atom_site_fract_z
B1 B 0.000 0.000 0.000
B2 B 0.008 0.000 0.505
B3 B 0.224 0.000 0.372
B4 B 0.315 0.000 0.699
B5 B 0.342 0.000 0.131
B6 B 0.398 0.500 0.651
C1 C 0.080 0.500 0.044
C2 C 0.087 0.500 0.551
C3 C 0.152 0.500 0.330
C4 C 0.157 0.500 0.846
C5 C 0.228 0.000 0.895
C6 C 0.408 0.500 0.228
```

=====

(5)
An optimized crystal structure of B3C7. Source: Alexandria via LeMat-Bulk, functional PBE-GGA.

Output
The value obtained for the offset from the most stable computed form is 3.3 kJ/mol of atoms. The value obtained for the formation energy is 0.2968 eV per atom. For the total energy, the calculation gives -163.26 eV per cell.

```
data_B3C7
_chemical_formula_sum 'B6 C14'
_cell_length_a 8.768
_cell_length_b 2.606
_cell_length_c 6.414
_cell_angle_alpha 90.00
_cell_angle_beta 119.17
_cell_angle_gamma 90.00
_space_group_name_H-M_alt 'C 1 m 1'
_space_group_IT_number 8
loop_
_space_group_symop_operation_xyz
'x,y,z'
'x,-y,z'
'x+1/2,y+1/2,z'
'x+1/2,-y+1/2,z'
loop_
_atom_site_label
_atom_site_type_symbol
_atom_site_fract_x
_atom_site_fract_y
_atom_site_fract_z
B1 B 0.000 0.000 0.000
B2 B 0.003 0.000 0.346
B3 B 0.092 0.500 0.688
C1 C 0.105 0.500 0.436
C2 C 0.208 0.000 0.101
C3 C 0.208 0.000 0.859
C4 C 0.295 0.500 0.491
C5 C 0.296 0.500 0.246
C6 C 0.389 0.000 0.636
C7 C 0.389 0.000 0.882
```

=====

(6)
An optimized crystal structure of BC. Source: Alexandria via LeMat-Bulk, functional PBE-GGA.

Output
The value obtained for the offset from the most stable computed form is 28.5 kJ/mol of atoms. The value obtained for the formation energy is 0.4467 eV per atom. For the total energy, the calculation gives -225.12 eV per cell.

```
data_BC
_chemical_formula_sum 'B15 C15'
_cell_length_a 2.6494
_cell_length_b 2.6494
_cell_length_c 33.3857
_cell_angle_alpha 90.00
_cell_angle_beta 90.00
_cell_angle_gamma 120.00
_space_group_name_H-M_alt 'R 3 m'
_space_group_IT_number 160
_space_group_name_Hall 'R 3 -2"'
loop_
_atom_site_label
_atom_site_type_symbol
_atom_site_fract_x
_atom_site_fract_y
_atom_site_fract_z
B1 B 0.0000 0.0000 0.0000
B2 B 0.0000 0.0000 0.0561
B3 B 0.0000 0.0000 0.4152
B4 B 0.0000 0.0000 0.6093
B5 B 0.0000 0.0000 0.8601
C1 C 0.0000 0.0000 0.2147
C2 C 0.0000 0.0000 0.2573
C3 C 0.0000 0.0000 0.4636
C4 C 0.0000 0.0000 0.6605
C5 C 0.0000 0.0000 0.8119
```